Record 1
VASP calculation (GGA-PBE) on an optimized crystal structure of GeTeO4.

Unit cell a=4.829 b=5.325 c=5.863 alpha=90.00 beta=90.00 gamma=90.00
Fractional positions:
1 Ge 0.000 0.000 0.000
2 Ge 0.000 0.500 0.500
3 Te 0.500 0.000 0.391
4 Te 0.500 0.500 0.891
5 O 0.198 0.214 0.829
6 O 0.198 0.286 0.329
7 O 0.280 0.668 0.647
8 O 0.280 0.832 0.147
9 O 0.720 0.168 0.147
10 O 0.720 0.332 0.647
11 O 0.802 0.714 0.329
12 O 0.802 0.786 0.829

Values from the calculation:
The density of states at the Fermi level is 0.0000 states/eV/atom. The formation energy (no corrections) comes out at -1.193 eV/atom. The value obtained for the total energy is -5.792 eV/atom. As for the energy above the most stable polymorph in this dataset: 0 meV per atom.

=====

Record 2
VASP calculation (GGA-PBE) on an optimized crystal structure of GeTeO.

Unit cell a=3.085 b=4.766 c=9.299 alpha=90.00 beta=98.02 gamma=90.00
Fractional positions:
1 Ge 0.176 0.250 0.323
2 Ge 0.824 0.750 0.677
3 Te 0.106 0.750 0.162
4 Te 0.894 0.250 0.838
5 O 0.278 0.750 0.568
6 O 0.722 0.250 0.432

Values from the calculation:
The density of states at the Fermi level is 0.2088 states/eV/atom. The formation energy (no corrections) comes out at -0.655 eV/atom. The value obtained for the total energy is -4.894 eV/atom.

=====

Record 3
VASP calculation (GGA-PBE) on an optimized crystal structure of GeTe2O.

Unit cell a=9.569 b=9.569 c=9.569 alpha=19.17 beta=19.17 gamma=19.17
Fractional positions:
1 Ge 0.000 0.000 0.000
2 Te 0.102 0.102 0.102
3 Te 0.898 0.898 0.898
4 O 0.500 0.500 0.500

Values from the calculation:
The density of states at the Fermi level is 0.5556 states/eV/atom. The formation energy (no corrections) comes out at 0.297 eV/atom. The value obtained for the total energy is -3.668 eV/atom. As for the energy above the most stable polymorph in this dataset: 311 meV per atom.

=====

Record 4
VASP calculation (GGA-PBE) on an optimized crystal structure of GeTeO4.

Unit cell a=8.517 b=8.517 c=4.531 alpha=105.18 beta=105.18 gamma=134.16
Fractional positions:
1 Ge 0.190 0.810 0.750
2 Ge 0.810 0.190 0.250
3 Te 0.378 0.622 0.250
4 Te 0.622 0.378 0.750
5 O 0.057 0.291 0.661
6 O 0.119 0.540 0.342
7 O 0.291 0.057 0.161
8 O 0.460 0.881 0.158
9 O 0.540 0.119 0.842
10 O 0.709 0.943 0.839
11 O 0.881 0.460 0.658
12 O 0.943 0.709 0.339

Values from the calculation:
The density of states at the Fermi level is 0.0000 states/eV/atom. The formation energy (no corrections) comes out at -1.152 eV/atom. The value obtained for the total energy is -5.751 eV/atom. As for the energy above the most stable polymorph in this dataset: 41 meV per atom.

=====

Record 5
VASP calculation (GGA-PBE) on an optimized crystal structure of Ge2TeO.

Unit cell a=7.501 b=7.501 c=7.501 alpha=138.18 beta=138.18 gamma=60.63
Fractional positions:
1 Ge 0.375 0.243 0.368
2 Ge 0.757 0.125 0.132
3 Ge 0.875 0.007 0.632
4 Ge 0.993 0.625 0.868
5 Te 0.250 0.750 0.500
6 Te 0.500 0.500 0.000
7 O 0.000 0.000 0.000
8 O 0.750 0.250 0.500

Values from the calculation:
The density of states at the Fermi level is 0.2894 states/eV/atom. The formation energy (no corrections) comes out at -0.255 eV/atom. The value obtained for the total energy is -4.589 eV/atom. As for the energy above the most stable polymorph in this dataset: 0 meV per atom.

=====

Record 6
VASP calculation (GGA-PBE) on an optimized crystal structure of GeTeO3.

Unit cell a=4.163 b=4.163 c=4.163 alpha=90.00 beta=90.00 gamma=90.00
Fractional positions:
1 Ge 0.000 0.000 0.000
2 Te 0.500 0.500 0.500
3 O 0.000 0.500 0.500
4 O 0.500 0.000 0.500
5 O 0.500 0.500 0.000

Values from the calculation:
The density of states at the Fermi level is 0.4715 states/eV/atom. The formation energy (no corrections) comes out at -0.473 eV/atom. The value obtained for the total energy is -5.000 eV/atom.

=====

Record 7
VASP calculation (GGA-PBE) on an optimized crystal structure of GeTeO3.

Unit cell a=3.909 b=3.909 c=3.909 alpha=90.00 beta=90.00 gamma=90.00
Fractional positions:
1 Ge 0.000 0.000 0.000
2 Te 0.500 0.500 0.500
3 O 0.000 0.000 0.500
4 O 0.000 0.500 0.000
5 O 0.500 0.000 0.000

Values from the calculation:
The density of states at the Fermi level is 0.4650 states/eV/atom. The formation energy (no corrections) comes out at -0.597 eV/atom. The value obtained for the total energy is -5.124 eV/atom.

=====

Record 8
VASP calculation (GGA-PBE) on an optimized crystal structure of GeTeO3.

Unit cell a=5.172 b=5.172 c=5.172 alpha=67.11 beta=67.11 gamma=67.11
Fractional positions:
1 Ge 0.000 0.000 0.000
2 Te 0.678 0.678 0.678
3 O 0.423 0.924 0.924
4 O 0.924 0.423 0.924
5 O 0.924 0.924 0.423

Values from the calculation:
The density of states at the Fermi level is 0.0000 states/eV/atom. The formation energy (no corrections) comes out at -1.008 eV/atom. The value obtained for the total energy is -5.535 eV/atom.

=====

Record 9
VASP calculation (GGA-PBE) on an optimized crystal structure of GeTe2O.

Unit cell a=8.091 b=8.091 c=8.091 alpha=140.96 beta=140.96 gamma=56.40
Fractional positions:
1 Ge 0.000 0.000 0.000
2 Ge 0.750 0.250 0.500
3 Te 0.226 0.625 0.101
4 Te 0.375 0.476 0.601
5 Te 0.524 0.125 0.899
6 Te 0.875 0.774 0.399
7 O 0.250 0.750 0.500
8 O 0.500 0.500 0.000

Values from the calculation:
The density of states at the Fermi level is 0.4895 states/eV/atom. The formation energy (no corrections) comes out at 0.122 eV/atom. The value obtained for the total energy is -3.843 eV/atom. As for the energy above the most stable polymorph in this dataset: 136 meV per atom.

=====

Record 10
VASP calculation (GGA-PBE) on an optimized crystal structure of GeTe2O.

Unit cell a=4.786 b=4.786 c=4.786 alpha=60.00 beta=60.00 gamma=60.00
Fractional positions:
1 Ge 0.000 0.000 0.000
2 Te 0.250 0.250 0.250
3 Te 0.750 0.750 0.750
4 O 0.500 0.500 0.500

Values from the calculation:
The density of states at the Fermi level is 0.5398 states/eV/atom. The formation energy (no corrections) comes out at 0.378 eV/atom. The value obtained for the total energy is -3.587 eV/atom. As for the energy above the most stable polymorph in this dataset: 391 meV per atom.

=====

Record 11
VASP calculation (GGA-PBE) on an optimized crystal structure of GeTe2O6.

Unit cell a=7.300 b=7.300 c=9.073 alpha=114.54 beta=114.54 gamma=86.84
Fractional positions:
1 Ge 0.194 0.806 0.750
2 Ge 0.806 0.194 0.250
3 Te 0.309 0.373 0.476
4 Te 0.373 0.309 0.976
5 Te 0.627 0.691 0.024
6 Te 0.691 0.627 0.524
7 O 0.044 0.239 0.255
8 O 0.190 0.622 0.543
9 O 0.239 0.044 0.755
10 O 0.378 0.810 0.957
11 O 0.401 0.424 0.327
12 O 0.424 0.401 0.827
13 O 0.576 0.599 0.173
14 O 0.599 0.576 0.673
15 O 0.622 0.190 0.043
16 O 0.761 0.956 0.245
17 O 0.810 0.378 0.457
18 O 0.956 0.761 0.745

Values from the calculation:
The density of states at the Fermi level is 0.0000 states/eV/atom. The formation energy (no corrections) comes out at -1.169 eV/atom. The value obtained for the total energy is -5.685 eV/atom.

=====

Record 12
VASP calculation (GGA-PBE) on an optimized crystal structure of GeTe3O.

Unit cell a=4.856 b=4.856 c=4.856 alpha=90.00 beta=90.00 gamma=90.00
Fractional positions:
1 Ge 0.000 0.000 0.000
2 Te 0.000 0.500 0.500
3 Te 0.500 0.000 0.500
4 Te 0.500 0.500 0.000
5 O 0.500 0.500 0.500

Values from the calculation:
The density of states at the Fermi level is 0.3800 states/eV/atom. The formation energy (no corrections) comes out at 0.204 eV/atom. The value obtained for the total energy is -3.597 eV/atom. As for the energy above the most stable polymorph in this dataset: 0 meV per atom.

=====

Record 13
VASP calculation (GGA-PBE) on an optimized crystal structure of GeTe3O.

Unit cell a=5.309 b=5.309 c=5.309 alpha=90.00 beta=90.00 gamma=90.00
Fractional positions:
1 Ge 0.000 0.000 0.000
2 Te 0.000 0.000 0.500
3 Te 0.000 0.500 0.000
4 Te 0.500 0.000 0.000
5 O 0.500 0.500 0.500

Values from the calculation:
The density of states at the Fermi level is 2.1400 states/eV/atom. The formation energy (no corrections) comes out at 1.061 eV/atom. The value obtained for the total energy is -2.740 eV/atom. As for the energy above the most stable polymorph in this dataset: 857 meV per atom.

=====

Record 14
VASP calculation (GGA-PBE) on an optimized crystal structure of TlGeTeO6.

Unit cell a=5.190 b=5.190 c=5.324 alpha=90.00 beta=90.00 gamma=120.00
Fractional positions:
1 Tl 0.000 0.000 0.000
2 Ge 0.667 0.333 0.500
3 Te 0.333 0.667 0.500
4 O 0.381 0.005 0.297
5 O 0.381 0.377 0.703
6 O 0.623 0.005 0.703
7 O 0.623 0.619 0.297
8 O 0.995 0.377 0.297
9 O 0.995 0.619 0.703

Values from the calculation:
The density of states at the Fermi level is 0.2318 states/eV/atom. The formation energy (no corrections) comes out at -1.116 eV/atom. The value obtained for the total energy is -5.546 eV/atom.

=====

Record 15
VASP calculation (GGA-PBE) on an optimized crystal structure of TlGe2TeO8.

Unit cell a=5.010 b=5.010 c=7.799 alpha=92.78 beta=92.78 gamma=67.79
Fractional positions:
1 Tl 0.000 0.000 0.000
2 Ge 0.345 0.345 0.291
3 Ge 0.655 0.655 0.709
4 Te 0.000 0.000 0.500
5 O 0.215 0.736 0.315
6 O 0.230 0.230 0.477
7 O 0.264 0.785 0.685
8 O 0.269 0.269 0.081
9 O 0.731 0.731 0.919
10 O 0.736 0.215 0.315
11 O 0.770 0.770 0.523
12 O 0.785 0.264 0.685

Values from the calculation:
The density of states at the Fermi level is 0.2477 states/eV/atom. The formation energy (no corrections) comes out at -1.127 eV/atom. The value obtained for the total energy is -5.661 eV/atom.

=====

Record 16
VASP calculation (GGA-PBE) on an optimized crystal structure of Tl2GeTeO6.

Unit cell a=10.136 b=10.136 c=10.136 alpha=33.61 beta=33.61 gamma=33.61
Fractional positions:
1 Tl 0.129 0.129 0.129
2 Tl 0.280 0.280 0.280
3 Tl 0.720 0.720 0.720
4 Tl 0.871 0.871 0.871
5 Ge 0.404 0.404 0.404
6 Ge 0.596 0.596 0.596
7 Te 0.000 0.000 0.000
8 Te 0.500 0.500 0.500
9 O 0.165 0.599 0.599
10 O 0.206 0.206 0.707
11 O 0.206 0.707 0.206
12 O 0.293 0.794 0.794
13 O 0.401 0.401 0.835
14 O 0.401 0.835 0.401
15 O 0.599 0.165 0.599
16 O 0.599 0.599 0.165
17 O 0.707 0.206 0.206
18 O 0.794 0.293 0.794
19 O 0.794 0.794 0.293
20 O 0.835 0.401 0.401

Values from the calculation:
The density of states at the Fermi level is 0.2321 states/eV/atom. The formation energy (no corrections) comes out at -0.916 eV/atom. The value obtained for the total energy is -5.140 eV/atom.

=====

Record 17
VASP calculation (GGA-PBE) on an optimized crystal structure of UGeTe2O.

Unit cell a=4.062 b=4.062 c=14.488 alpha=90.00 beta=90.00 gamma=90.00
Fractional positions:
1 U 0.250 0.250 0.081
2 U 0.750 0.750 0.919
3 Ge 0.250 0.250 0.587
4 Ge 0.750 0.750 0.413
5 Te 0.250 0.250 0.391
6 Te 0.250 0.250 0.808
7 Te 0.750 0.750 0.192
8 Te 0.750 0.750 0.609
9 O 0.250 0.750 0.000
10 O 0.750 0.250 0.000

Values from the calculation:
The density of states at the Fermi level is 1.6274 states/eV/atom. The formation energy (no corrections) comes out at -1.218 eV/atom. The value obtained for the total energy is -6.647 eV/atom.